Density functional theory data (GGA-PBE) for crystalline Nb2Co3Ni at its relaxed geometry.

Energy (eV/cell): -96.4
DOS(E_F) (states/eV/f.u.): 10.2
Formation energy from the elements (meV/atom): -159.4
E above lowest polymorph (eV/f.u.): 0.00

```
data_Nb2Co3Ni
_chemical_formula_sum 'Nb4 Co6 Ni2'
_space_group_name_H-M_alt 'P 63/m m c'
_space_group_IT_number 194
_space_group_name_Hall '-P 6c 2c'
_cell_length_a 4.7932
_cell_length_b 4.7932
_cell_length_c 7.7525
_cell_angle_alpha 90.00
_cell_angle_beta 90.00
_cell_angle_gamma 120.00
loop_
_atom_site_label
_atom_site_fract_x
_atom_site_fract_y
_atom_site_fract_z
Nb1 0.3333 0.6667 0.0625
Co1 0.1684 0.3368 0.7500
Ni1 0.0000 0.0000 0.0000
```

=====

Density functional theory data (GGA-PBE) for crystalline MgHg2Pb at its relaxed geometry.

Energy (eV/cell): -12.2
DOS(E_F) (states/eV/f.u.): 0.9
Formation energy from the elements (meV/atom): -45.8

```
data_MgHg2Pb
_chemical_formula_sum 'Mg2 Hg4 Pb2'
_space_group_name_H-M_alt 'C 1 m 1'
_space_group_IT_number 8
_cell_length_a 10.684
_cell_length_b 3.479
_cell_length_c 5.610
_cell_angle_alpha 90.00
_cell_angle_beta 103.17
_cell_angle_gamma 90.00
loop_
_space_group_symop_operation_xyz
'x,y,z'
'x,-y,z'
'x+1/2,y+1/2,z'
'x+1/2,-y+1/2,z'
loop_
_atom_site_label
_atom_site_fract_x
_atom_site_fract_y
_atom_site_fract_z
Mg1 0.000 0.000 0.000
Hg1 0.013 0.500 0.542
Hg2 0.269 0.000 0.805
Pb1 0.250 0.500 0.290
```

=====

Density functional theory data (GGA-PBE) for crystalline LiCa2Zn at its relaxed geometry.

Energy (eV/cell): -7.5
DOS(E_F) (states/eV/f.u.): 2.8
Formation energy from the elements (meV/atom): -87.3

```
data_LiCa2Zn
_chemical_formula_sum 'Li1 Ca2 Zn1'
_space_group_name_H-M_alt 'P 4 m m'
_space_group_IT_number 99
_cell_length_a 3.654
_cell_length_b 3.654
_cell_length_c 8.216
_cell_angle_alpha 90.00
_cell_angle_beta 90.00
_cell_angle_gamma 90.00
loop_
_space_group_symop_operation_xyz
'x,y,z'
'-y,x,z'
'-x,-y,z'
'y,-x,z'
'-x,y,z'
'y,x,z'
'x,-y,z'
'-y,-x,z'
loop_
_atom_site_label
_atom_site_fract_x
_atom_site_fract_y
_atom_site_fract_z
Li1 0.000 0.000 0.000
Ca1 0.000 0.000 0.377
Ca2 0.500 0.500 0.738
Zn1 0.500 0.500 0.144
```

=====

Density functional theory data (GGA-PBE) for crystalline KRhAuCl6 at its relaxed geometry.

Energy (eV/cell): -29.5
DOS(E_F) (states/eV/f.u.): 1.3
Formation energy (no corrections) (meV per atom): -743

```
data_KRhAuCl6
_chemical_formula_sum 'K1 Rh1 Au1 Cl6'
_space_group_name_H-M_alt 'P 1'
_space_group_IT_number 1
_cell_length_a 6.481
_cell_length_b 6.490
_cell_length_c 6.829
_cell_angle_alpha 92.11
_cell_angle_beta 92.36
_cell_angle_gamma 114.98
loop_
_space_group_symop_operation_xyz
'x,y,z'
loop_
_atom_site_label
_atom_site_fract_x
_atom_site_fract_y
_atom_site_fract_z
K1 0.000 0.000 0.000
Rh1 0.651 0.348 0.499
Au1 0.315 0.686 0.499
Cl1 0.366 0.388 0.289
Cl2 0.368 0.056 0.662
Cl3 0.614 0.632 0.710
Cl4 0.659 0.071 0.275
Cl5 0.930 0.337 0.720
Cl6 0.943 0.632 0.336
```

=====

Density functional theory data (GGA-PBE) for crystalline KAs2Pt at its relaxed geometry.

Energy (eV/cell): -16.5
DOS(E_F) (states/eV/f.u.): 2.0
Formation energy from the elements (meV/atom): -19.7
E above lowest polymorph (eV/f.u.): 1.70

```
data_KAs2Pt
_chemical_formula_sum 'K1 As2 Pt1'
_space_group_name_H-M_alt 'P m m 2'
_space_group_IT_number 25
_cell_length_a 3.363
_cell_length_b 3.711
_cell_length_c 7.500
_cell_angle_alpha 90.00
_cell_angle_beta 90.00
_cell_angle_gamma 90.00
loop_
_space_group_symop_operation_xyz
'x,y,z'
'-x,-y,z'
'-x,y,z'
'x,-y,z'
loop_
_atom_site_label
_atom_site_fract_x
_atom_site_fract_y
_atom_site_fract_z
K1 0.000 0.000 0.000
As1 0.000 0.000 0.457
As2 0.500 0.500 0.691
Pt1 0.500 0.500 0.354
```

=====

Density functional theory data (GGA-PBE) for crystalline ErTmU2As4 at its relaxed geometry.

Energy (eV/cell): -59.2
DOS(E_F) (states/eV/f.u.): 6.8
Formation energy from the elements (meV/atom): -1123.7

```
data_ErTmU2As4
_chemical_formula_sum 'Er1 Tm1 U2 As4'
_space_group_name_H-M_alt 'P 1 2/m 1'
_space_group_IT_number 10
_cell_length_a 7.011
_cell_length_b 4.047
_cell_length_c 7.147
_cell_angle_alpha 90.00
_cell_angle_beta 109.07
_cell_angle_gamma 90.00
loop_
_space_group_symop_operation_xyz
'x,y,z'
'-x,-y,-z'
'-x,y,-z'
'x,-y,z'
loop_
_atom_site_label
_atom_site_fract_x
_atom_site_fract_y
_atom_site_fract_z
Er1 0.000 0.000 0.000
Tm1 0.500 0.500 0.000
U1 0.000 0.500 0.500
U2 0.500 0.000 0.500
As1 0.250 0.500 0.248
As2 0.251 0.000 0.752
```

=====

Density functional theory data (GGA-PBE) for crystalline LiOsRh at its relaxed geometry.

Energy (eV/cell): -75.8
DOS(E_F) (states/eV/f.u.): 3.0
Formation energy from the elements (meV/atom): 518.5
E above lowest polymorph (eV/f.u.): 1.59

```
data_LiOsRh
_chemical_formula_sum 'Li4 Os4 Rh4'
_space_group_name_H-M_alt 'C m c m'
_space_group_IT_number 63
_space_group_name_Hall '-C 2c 2'
_cell_length_a 4.167
_cell_length_b 7.248
_cell_length_c 5.176
_cell_angle_alpha 90.00
_cell_angle_beta 90.00
_cell_angle_gamma 90.00
loop_
_atom_site_label
_atom_site_fract_x
_atom_site_fract_y
_atom_site_fract_z
Li1 0.000 0.166 0.250
Os1 0.000 0.167 0.750
Rh1 0.000 0.500 0.000
```

=====

Density functional theory data (GGA-PBE) for crystalline Pm2SnHg3 at its relaxed geometry.

Energy (eV/cell): -138.1
DOS(E_F) (states/eV/f.u.): 4.3
Formation energy from the elements (meV/atom): -474.7
E above lowest polymorph (eV/f.u.): 0.00

```
data_Pm2SnHg3
_chemical_formula_sum 'Pm16 Sn8 Hg24'
_space_group_name_H-M_alt 'F m m m'
_space_group_IT_number 69
_space_group_name_Hall '-F 2 2'
_cell_length_a 7.376
_cell_length_b 9.909
_cell_length_c 17.160
_cell_angle_alpha 90.00
_cell_angle_beta 90.00
_cell_angle_gamma 90.00
loop_
_atom_site_label
_atom_site_fract_x
_atom_site_fract_y
_atom_site_fract_z
Pm1 0.244 0.000 0.000
Pm2 0.250 0.250 0.250
Sn1 0.000 0.000 0.334
Hg1 0.000 0.000 0.166
Hg2 0.000 0.250 0.083
```

=====

Density functional theory data (GGA-PBE) for crystalline Be3Cl2 at its relaxed geometry.

Energy (eV/cell): -45.1
DOS(E_F) (states/eV/f.u.): 1.3
Formation energy (no corrections) (meV per atom): -30

```
data_Be3Cl2
_chemical_formula_sum 'Be9 Cl6'
_space_group_name_H-M_alt 'R -3 m'
_space_group_IT_number 166
_space_group_name_Hall '-R 3 2"'
_cell_length_a 3.0703
_cell_length_b 3.0703
_cell_length_c 39.0412
_cell_angle_alpha 90.00
_cell_angle_beta 90.00
_cell_angle_gamma 120.00
loop_
_atom_site_label
_atom_site_fract_x
_atom_site_fract_y
_atom_site_fract_z
Be1 0.0000 0.0000 0.0000
Be2 0.0000 0.0000 0.1826
Cl1 0.0000 0.0000 0.3665
```

=====

Density functional theory data (GGA-PBE) for crystalline Pm3SnS2 at its relaxed geometry.

Energy (eV/cell): -130.2
DOS(E_F) (states/eV/f.u.): 3.4
Formation energy (no corrections) (meV per atom): -1005
E above lowest polymorph (eV/f.u.): 3.35

```
data_Pm3SnS2
_chemical_formula_sum 'Pm12 Sn4 S8'
_space_group_name_H-M_alt 'C m c m'
_space_group_IT_number 63
_space_group_name_Hall '-C 2c 2'
_cell_length_a 10.887
_cell_length_b 11.523
_cell_length_c 6.384
_cell_angle_alpha 90.00
_cell_angle_beta 90.00
_cell_angle_gamma 90.00
loop_
_atom_site_label
_atom_site_fract_x
_atom_site_fract_y
_atom_site_fract_z
Pm1 0.000 0.113 0.250
Pm2 0.163 0.407 0.250
Sn1 0.000 0.349 0.750
S1 0.163 0.000 0.000
```

=====

Density functional theory data (GGA-PBE) for crystalline SrLi2Fe at its relaxed geometry.

Energy (eV/cell): -47.7
DOS(E_F) (states/eV/f.u.): 4.1
Formation energy from the elements (meV/atom): 511.0
E above lowest polymorph (eV/f.u.): 0.32

```
data_SrLi2Fe
_chemical_formula_sum 'Sr4 Li8 Fe4'
_space_group_name_H-M_alt 'F m -3 m'
_space_group_IT_number 225
_space_group_name_Hall '-F 4 2 3'
_cell_length_a 7.141
_cell_length_b 7.141
_cell_length_c 7.141
_cell_angle_alpha 90.00
_cell_angle_beta 90.00
_cell_angle_gamma 90.00
loop_
_atom_site_label
_atom_site_fract_x
_atom_site_fract_y
_atom_site_fract_z
Sr1 0.000 0.000 0.000
Li1 0.250 0.250 0.250
Fe1 0.000 0.000 0.500
```

=====

Density functional theory data (GGA-PBE) for crystalline PmTlGe2 at its relaxed geometry.

Energy (eV/cell): -17.3
DOS(E_F) (states/eV/f.u.): 2.4
Formation energy from the elements (meV/atom): -248.5
E above lowest polymorph (eV/f.u.): 0.36

```
data_PmTlGe2
_chemical_formula_sum 'Pm1 Tl1 Ge2'
_space_group_name_H-M_alt 'P 4/m m m'
_space_group_IT_number 123
_space_group_name_Hall '-P 4 2'
_cell_length_a 4.008
_cell_length_b 4.008
_cell_length_c 6.569
_cell_angle_alpha 90.00
_cell_angle_beta 90.00
_cell_angle_gamma 90.00
loop_
_atom_site_label
_atom_site_fract_x
_atom_site_fract_y
_atom_site_fract_z
Pm1 0.000 0.000 0.000
Tl1 0.000 0.000 0.500
Ge1 0.500 0.500 0.195
```

=====

Density functional theory data (GGA-PBE) for crystalline EuErSnPb at its relaxed geometry.

Energy (eV/cell): -97.9
DOS(E_F) (states/eV/f.u.): 2.9
Formation energy from the elements (meV/atom): -482.5

```
data_EuErSnPb
_chemical_formula_sum 'Eu4 Er4 Sn4 Pb4'
_space_group_name_H-M_alt 'F -4 3 m'
_space_group_IT_number 216
_space_group_name_Hall 'F -4 2 3'
_cell_length_a 7.742
_cell_length_b 7.742
_cell_length_c 7.742
_cell_angle_alpha 90.00
_cell_angle_beta 90.00
_cell_angle_gamma 90.00
loop_
_atom_site_label
_atom_site_fract_x
_atom_site_fract_y
_atom_site_fract_z
Eu1 0.000 0.000 0.000
Er1 0.000 0.000 0.500
Sn1 0.250 0.250 0.750
Pb1 0.250 0.250 0.250
```

=====

Density functional theory data (GGA-PBE) for crystalline NaCdAgF6 at its relaxed geometry.

Energy (eV/cell): -32.3
Formation energy (no corrections) (meV per atom): -1781

```
data_NaCdAgF6
_chemical_formula_sum 'Na1 Cd1 Ag1 F6'
_space_group_name_H-M_alt 'P 3 1 2'
_space_group_IT_number 149
_cell_length_a 5.8247
_cell_length_b 5.8247
_cell_length_c 4.7241
_cell_angle_alpha 90.00
_cell_angle_beta 90.00
_cell_angle_gamma 120.00
loop_
_space_group_symop_operation_xyz
'x,y,z'
'-y,x-y,z'
'-x+y,-x,z'
'-y,-x,-z'
'-x+y,y,-z'
'x,x-y,-z'
loop_
_atom_site_label
_atom_site_fract_x
_atom_site_fract_y
_atom_site_fract_z
Na1 0.0000 0.0000 0.0000
Cd1 0.3333 0.6667 0.5000
Ag1 0.6667 0.3333 0.5000
F1 0.3579 0.0176 0.7345
```

=====

Density functional theory data (GGA-PBE) for crystalline Zr4Os3Pd at its relaxed geometry.

Energy (eV/cell): -77.3
DOS(E_F) (states/eV/f.u.): 5.1
Formation energy from the elements (meV/atom): -528.4

```
data_Zr4Os3Pd
_chemical_formula_sum 'Zr4 Os3 Pd1'
_space_group_name_H-M_alt 'P m m m'
_space_group_IT_number 47
_cell_length_a 3.260
_cell_length_b 4.707
_cell_length_c 9.398
_cell_angle_alpha 90.00
_cell_angle_beta 90.00
_cell_angle_gamma 90.00
loop_
_space_group_symop_operation_xyz
'x,y,z'
'-x,-y,-z'
'-x,-y,z'
'x,y,-z'
'x,-y,-z'
'-x,y,z'
'-x,y,-z'
'x,-y,z'
loop_
_atom_site_label
_atom_site_fract_x
_atom_site_fract_y
_atom_site_fract_z
Zr1 0.000 0.000 0.000
Zr2 0.000 0.000 0.500
Zr3 0.000 0.500 0.245
Os1 0.500 0.000 0.249
Os2 0.500 0.500 0.000
Pd1 0.500 0.500 0.500
```

=====

Density functional theory data (GGA-PBE) for crystalline LaNdGe2 at its relaxed geometry.

Energy (eV/cell): -21.5
DOS(E_F) (states/eV/f.u.): 4.0
Formation energy from the elements (meV/atom): -646.7
E above lowest polymorph (eV/f.u.): 0.77

```
data_LaNdGe2
_chemical_formula_sum 'La1 Nd1 Ge2'
_space_group_name_H-M_alt 'P 4/m m m'
_space_group_IT_number 123
_space_group_name_Hall '-P 4 2'
_cell_length_a 4.915
_cell_length_b 4.915
_cell_length_c 4.206
_cell_angle_alpha 90.00
_cell_angle_beta 90.00
_cell_angle_gamma 90.00
loop_
_atom_site_label
_atom_site_fract_x
_atom_site_fract_y
_atom_site_fract_z
La1 0.000 0.000 0.000
Nd1 0.500 0.500 0.000
Ge1 0.000 0.500 0.500
```

=====

Density functional theory data (GGA-PBE) for crystalline Y4Ni2Ag at its relaxed geometry.

Energy (eV/cell): -84.3
DOS(E_F) (states/eV/f.u.): 6.7
Formation energy from the elements (meV/atom): -271.8

```
data_Y4Ni2Ag
_chemical_formula_sum 'Y8 Ni4 Ag2'
_space_group_name_H-M_alt 'P 1'
_space_group_IT_number 1
_cell_length_a 6.920
_cell_length_b 6.944
_cell_length_c 8.268
_cell_angle_alpha 107.66
_cell_angle_beta 107.48
_cell_angle_gamma 106.21
loop_
_space_group_symop_operation_xyz
'x,y,z'
loop_
_atom_site_label
_atom_site_fract_x
_atom_site_fract_y
_atom_site_fract_z
Y1 0.000 0.000 0.000
Y2 0.024 0.198 0.531
Y3 0.056 0.731 0.597
Y4 0.174 0.522 0.007
Y5 0.460 0.470 0.424
Y6 0.564 0.065 0.129
Y7 0.601 0.109 0.704
Y8 0.731 0.579 0.120
Ni1 0.304 0.190 0.872
Ni2 0.621 0.843 0.371
Ni3 0.813 0.535 0.757
Ni4 0.996 0.382 0.255
Ag1 0.244 0.917 0.329
Ag2 0.479 0.654 0.799
```

=====

Density functional theory data (GGA-PBE) for crystalline BeTe3 at its relaxed geometry.

Energy (eV/cell): -10.5
DOS(E_F) (states/eV/f.u.): 3.0
Formation energy (no corrections) (meV per atom): 660
E above lowest polymorph (eV/f.u.): 2.53

```
data_BeTe3
_chemical_formula_sum 'Be1 Te3'
_space_group_name_H-M_alt 'P 4/m m m'
_space_group_IT_number 123
_space_group_name_Hall '-P 4 2'
_cell_length_a 5.205
_cell_length_b 5.205
_cell_length_c 3.678
_cell_angle_alpha 90.00
_cell_angle_beta 90.00
_cell_angle_gamma 90.00
loop_
_atom_site_label
_atom_site_fract_x
_atom_site_fract_y
_atom_site_fract_z
Be1 0.000 0.000 0.000
Te1 0.000 0.500 0.500
Te2 0.500 0.500 0.000
```

=====

Density functional theory data (GGA-PBE) for crystalline YAl2Fe at its relaxed geometry.

Energy (eV/cell): -45.6
DOS(E_F) (states/eV/f.u.): 3.0
Formation energy from the elements (meV/atom): -91.9

```
data_YAl2Fe
_chemical_formula_sum 'Y2 Al4 Fe2'
_space_group_name_H-M_alt 'I m m m'
_space_group_IT_number 71
_space_group_name_Hall '-I 2 2'
_cell_length_a 3.245
_cell_length_b 4.758
_cell_length_c 9.391
_cell_angle_alpha 90.00
_cell_angle_beta 90.00
_cell_angle_gamma 90.00
loop_
_atom_site_label
_atom_site_fract_x
_atom_site_fract_y
_atom_site_fract_z
Y1 0.000 0.000 0.000
Al1 0.000 0.500 0.213
Fe1 0.000 0.000 0.500
```

=====

Density functional theory data (GGA-PBE) for crystalline ReSi2Os at its relaxed geometry.

Energy (eV/cell): -127.1
DOS(E_F) (states/eV/f.u.): 5.6
Formation energy (no corrections) (meV per atom): 687

```
data_ReSi2Os
_chemical_formula_sum 'Re4 Si8 Os4'
_space_group_name_H-M_alt 'I -4 2 d'
_space_group_IT_number 122
_space_group_name_Hall 'I -4 2bw'
_cell_length_a 6.474
_cell_length_b 6.474
_cell_length_c 5.869
_cell_angle_alpha 90.00
_cell_angle_beta 90.00
_cell_angle_gamma 90.00
loop_
_atom_site_label
_atom_site_fract_x
_atom_site_fract_y
_atom_site_fract_z
Re1 0.000 0.000 0.000
Si1 0.239 0.250 0.625
Os1 0.000 0.000 0.500
```